DFT (meta-GGA SCAN) results for a PBEsol-optimized structure of BeCuH2.

a = 3.3607 Å, b = 3.3607 Å, c = 3.3607 Å
α = 60.00°, β = 60.00°, γ = 60.00°
With the nearest neighbours (Å) after each atom.
Sites, in units of the cell vectors:
Be (0.0000, 0.0000, 0.0000)  8 H 2.06
Cu (0.5000, 0.5000, 0.5000)  8 H 2.06
H (0.2500, 0.2500, 0.2500)  4 Cu 2.06, 4 Be 2.06
H (0.7500, 0.7500, 0.7500)  4 Cu 2.06, 4 Be 2.06

Calculated values
* theoretical density: 4.61 g/cm3
* DOS at the Fermi energy: 0.9 states/eV per cell
* total moment: 0.00 μB/f.u.
* VASP energy: -0.432 Ry per atom
* SG: No. 225

DFT (meta-GGA SCAN) results for a PBEsol-optimized structure of BeCuH2Pb.

a = 3.5685 Å, b = 3.5685 Å, c = 5.3881 Å
α = 90.00°, β = 90.00°, γ = 90.00°
With the nearest neighbours (Å) after each atom.
Sites, in units of the cell vectors:
Pb (0.0000, 0.0000, 0.5000)  4 Cu 2.52, 2 Be 2.69
Be (0.0000, 0.0000, 0.0000)  4 H 1.78
Cu (0.5000, 0.5000, 0.5000)  4 Pb 2.52
H (0.0000, 0.5000, 0.0000)  2 Be 1.78
H (0.5000, 0.0000, 0.0000)  2 Be 1.78

Calculated values
* theoretical density: 6.82 g/cm3
* DOS at the Fermi energy: 1.5 states/eV per cell
* total moment: 0.00 μB/f.u.
* VASP energy: -1.453 Ry per atom
* SG: No. 123

DFT (meta-GGA SCAN) results for a PBEsol-optimized structure of BeCuSn2H.

a = 3.2579 Å, b = 4.8937 Å, c = 4.8937 Å
α = 90.00°, β = 90.00°, γ = 90.00°
With the nearest neighbours (Å) after each atom.
Sites, in units of the cell vectors:
Be (0.5000, 0.5000, 0.5000)  8 Sn 2.94, 2 Be 3.26
Sn (0.0000, 0.0000, 0.5000)  2 H 2.45
Sn (0.0000, 0.5000, 0.0000)  2 H 2.45
Cu (0.5000, 0.0000, 0.0000)  2 H 1.63
H (0.0000, 0.0000, 0.0000)  2 Cu 1.63

Calculated values
* theoretical density: 6.62 g/cm3
* DOS at the Fermi energy: 1.6 states/eV per cell
* total moment: 0.00 μB/f.u.
* VASP energy: -1.352 Ry per atom
* SG: No. 123

DFT (meta-GGA SCAN) results for a PBEsol-optimized structure of Hf6Be15Cu8.

a = 7.7508 Å, b = 7.7508 Å, c = 7.7508 Å
α = 60.00°, β = 60.00°, γ = 60.00°
With the nearest neighbours (Å) after each atom.
Sites, in units of the cell vectors:
Hf (0.7023, 0.2977, 0.2977)  4 Cu 2.70, 8 Be 2.74-2.79
Hf (0.2977, 0.7023, 0.7023)  4 Cu 2.70, 8 Be 2.74-2.79
Hf (0.7023, 0.2977, 0.7023)  4 Cu 2.70, 8 Be 2.74-2.79
Hf (0.2977, 0.7023, 0.2977)  4 Cu 2.70, 8 Be 2.74-2.79
Hf (0.7023, 0.7023, 0.2977)  4 Cu 2.70, 8 Be 2.74-2.79
Hf (0.2977, 0.2977, 0.7023)  4 Cu 2.70, 8 Be 2.74-2.79
Be (0.0270, 0.3243, 0.3243)  6 Be 2.24-2.30, 3 Cu 2.36
Be (0.9730, 0.6757, 0.6757)  6 Be 2.24-2.30, 3 Cu 2.36
Be (0.3243, 0.0270, 0.3243)  6 Be 2.24-2.30, 3 Cu 2.36
Be (0.3243, 0.3243, 0.0270)  6 Be 2.24-2.30, 3 Cu 2.36
Be (0.6757, 0.9730, 0.6757)  6 Be 2.24-2.30, 3 Cu 2.36
Be (0.6757, 0.6757, 0.9730)  6 Be 2.24-2.30, 3 Cu 2.36
Be (0.3243, 0.3243, 0.3243)  6 Be 2.24-2.30, 3 Cu 2.36
Be (0.6757, 0.6757, 0.6757)  6 Be 2.24-2.30, 3 Cu 2.36
Be (0.5000, 0.0000, 0.0000)  4 Be 2.24, 4 Cu 2.39
Be (0.0000, 0.5000, 0.5000)  4 Be 2.24, 4 Cu 2.39
Be (0.5000, 0.0000, 0.5000)  4 Be 2.24, 4 Cu 2.39
Be (0.0000, 0.5000, 0.0000)  4 Be 2.24, 4 Cu 2.39
Be (0.5000, 0.5000, 0.0000)  4 Be 2.24, 4 Cu 2.39
Be (0.0000, 0.0000, 0.5000)  4 Be 2.24, 4 Cu 2.39
Be (0.0000, 0.0000, 0.0000)  8 Cu 2.33
Cu (0.6320, 0.1227, 0.1227)  7 Be 2.33-2.39
Cu (0.3680, 0.8773, 0.8773)  7 Be 2.33-2.39
Cu (0.1227, 0.6320, 0.1227)  7 Be 2.33-2.39
Cu (0.1227, 0.1227, 0.6320)  7 Be 2.33-2.39
Cu (0.8773, 0.3680, 0.8773)  7 Be 2.33-2.39
Cu (0.8773, 0.8773, 0.3680)  7 Be 2.33-2.39
Cu (0.1227, 0.1227, 0.1227)  7 Be 2.33-2.39
Cu (0.8773, 0.8773, 0.8773)  7 Be 2.33-2.39

Calculated values
* theoretical density: 8.65 g/cm3
* DOS at the Fermi energy: 9.8 states/eV per cell
* total moment: 0.00 μB/f.u.
* E_form: -9.014 eV per formula unit
* SG: No. 225